# 1
Tl4MoRu: relaxed, GGA-PBE.

Output
**Energy relative to the elements**: 1.357 eV per atom
**Magnetization**: 6.0 μB per cell
**Calculated volume**: 153.3 Å³ per cell

Unit cell a=6.0075 b=6.0075 c=6.0075 alpha=60.00 beta=60.00 gamma=60.00
Element x y z (fractional)
Tl1 0.1252 0.1252 0.1252
Tl2 0.1252 0.1252 0.6245
Tl3 0.1252 0.6245 0.1252
Tl4 0.6245 0.1252 0.1252
Mo1 0.7500 0.7500 0.7500
Ru1 0.5000 0.5000 0.5000

=====

# 2
TlMoRu4: relaxed, GGA-PBE.

Output
**Energy relative to the elements**: 0.536 eV per atom
**Magnetization**: 0.0 μB per cell
**Calculated volume**: 96.3 Å³ per cell

Unit cell a=5.1445 b=5.1445 c=5.1445 alpha=60.00 beta=60.00 gamma=60.00
Element x y z (fractional)
Tl1 0.0000 0.0000 0.0000
Mo1 0.7500 0.7500 0.7500
Ru1 0.3749 0.3749 0.3749
Ru2 0.3749 0.3749 0.8753
Ru3 0.3749 0.8753 0.3749
Ru4 0.8753 0.3749 0.3749

=====

# 3
Tl3MoRu: relaxed, GGA-PBE.

Output
**Energy relative to the elements**: 1.508 eV per atom
**Magnetization**: 2.8 μB per cell
**Calculated volume**: 149.4 Å³ per cell

Unit cell a=5.3064 b=5.3064 c=5.3064 alpha=90.00 beta=90.00 gamma=90.00
Element x y z (fractional)
Tl1 0.0000 0.0000 0.5000
Tl2 0.0000 0.5000 0.0000
Tl3 0.5000 0.0000 0.0000
Mo1 0.0000 0.0000 0.0000
Ru1 0.5000 0.5000 0.5000

=====

# 4
Tl3MoRu: relaxed, GGA-PBE.

Output
**Energy relative to the elements**: 1.133 eV per atom
**Magnetization**: 5.3 μB per cell
**Calculated volume**: 145.7 Å³ per cell

Unit cell a=5.2620 b=5.2620 c=5.2620 alpha=90.00 beta=90.00 gamma=90.00
Element x y z (fractional)
Tl1 0.0000 0.0000 0.5000
Tl2 0.0000 0.5000 0.0000
Tl3 0.5000 0.0000 0.0000
Mo1 0.5000 0.5000 0.5000
Ru1 0.0000 0.0000 0.0000

=====

# 5
TlMo2Ru2: relaxed, GGA-PBE.

Output
**Energy relative to the elements**: 0.292 eV per atom
**Magnetization**: 0.0 μB per cell
**Calculated volume**: 168.4 Å³ per cell

Unit cell a=7.6435 b=7.6435 c=2.8830 alpha=90.00 beta=90.00 gamma=90.00
Element x y z (fractional)
Tl1 0.0000 0.0000 0.0000
Tl2 0.5000 0.5000 0.0000
Mo1 0.1595 0.3405 0.5000
Mo2 0.3405 0.8405 0.5000
Mo3 0.6595 0.1595 0.5000
Mo4 0.8405 0.6595 0.5000
Ru1 0.1285 0.6285 0.0000
Ru2 0.3715 0.1285 0.0000
Ru3 0.6285 0.8715 0.0000
Ru4 0.8715 0.3715 0.0000

=====

# 6
TlVMo2Ru: relaxed, GGA-PBE.

Output
**Energy relative to the elements**: 1.292 eV per atom
**Magnetization**: 0.0 μB per cell
**Calculated volume**: 102.4 Å³ per cell

Unit cell a=4.7496 b=4.7496 c=4.5413 alpha=90.00 beta=90.00 gamma=90.00
Element x y z (fractional)
Tl1 0.0000 0.0000 0.0000
V1 0.5000 0.5000 0.0000
Mo1 0.0000 0.5000 0.5000
Mo2 0.5000 0.0000 0.5000
Ru1 0.5000 0.5000 0.5000

=====

# 7
TlMoRuW2: relaxed, GGA-PBE.

Output
**Energy relative to the elements**: 1.907 eV per atom
**Magnetization**: 0.1 μB per cell
**Calculated volume**: 108.1 Å³ per cell

Unit cell a=4.8035 b=4.8035 c=4.6869 alpha=90.00 beta=90.00 gamma=90.00
Element x y z (fractional)
Tl1 0.0000 0.0000 0.0000
Mo1 0.5000 0.5000 0.5000
Ru1 0.5000 0.5000 0.0000
W1 0.0000 0.5000 0.5000
W2 0.5000 0.0000 0.5000

=====

# 8
Tl2MoRuW: relaxed, GGA-PBE.

Output
**Energy relative to the elements**: 1.678 eV per atom
**Magnetization**: 2.8 μB per cell
**Calculated volume**: 127.0 Å³ per cell

Unit cell a=5.1437 b=5.1437 c=4.8012 alpha=90.00 beta=90.00 gamma=90.00
Element x y z (fractional)
Tl1 0.0000 0.5000 0.0000
Tl2 0.5000 0.0000 0.0000
Mo1 0.0000 0.0000 0.5000
Ru1 0.5000 0.5000 0.0000
W1 0.5000 0.5000 0.5000

=====

# 9
TmMoRuW: relaxed, GGA-PBE.

Output
**Energy relative to the elements**: 0.029 eV per atom
**Magnetization**: 0.0 μB per cell
**Calculated volume**: 68.0 Å³ per cell

Unit cell a=4.5807 b=4.5807 c=4.5807 alpha=60.00 beta=60.00 gamma=60.00
Element x y z (fractional)
Tm1 0.0000 0.0000 0.0000
Mo1 0.7500 0.7500 0.7500
Ru1 0.2500 0.2500 0.2500
W1 0.5000 0.5000 0.5000

=====

# 10
U2MoRu9: relaxed, GGA-PBE.

Output
**Energy relative to the elements**: -0.202 eV per atom
**Magnetization**: 0.0 μB per cell
**Calculated volume**: 185.3 Å³ per cell

Unit cell a=3.9605 b=3.9605 c=11.8129 alpha=90.00 beta=90.00 gamma=90.00
Element x y z (fractional)
U1 0.0000 0.0000 0.1704
U2 0.0000 0.0000 0.8296
Mo1 0.0000 0.0000 0.5000
Ru1 0.0000 0.5000 0.0000
Ru2 0.0000 0.5000 0.3438
Ru3 0.0000 0.5000 0.6562
Ru4 0.5000 0.0000 0.0000
Ru5 0.5000 0.0000 0.3438
Ru6 0.5000 0.0000 0.6562
Ru7 0.5000 0.5000 0.1720
Ru8 0.5000 0.5000 0.5000
Ru9 0.5000 0.5000 0.8280

=====

# 11
UMoRu2: relaxed, GGA-PBE.

Output
**Energy relative to the elements**: 0.162 eV per atom
**Magnetization**: 0.1 μB per cell
**Calculated volume**: 65.0 Å³ per cell

Unit cell a=9.4569 b=9.4569 c=9.4569 alpha=17.26 beta=17.26 gamma=17.26
Element x y z (fractional)
U1 0.0000 0.0000 0.0000
Mo1 0.5000 0.5000 0.5000
Ru1 0.2434 0.2434 0.2434
Ru2 0.7566 0.7566 0.7566

=====

# 12
UMoRu2: relaxed, GGA-PBE.

Output
**Energy relative to the elements**: -0.075 eV per atom
**Magnetization**: 0.0 μB per cell
**Calculated volume**: 66.0 Å³ per cell

Unit cell a=4.1131 b=4.1131 c=3.8998 alpha=90.00 beta=90.00 gamma=90.00
Element x y z (fractional)
U1 0.0000 0.0000 0.0000
Mo1 0.5000 0.5000 0.0000
Ru1 0.0000 0.5000 0.5000
Ru2 0.5000 0.0000 0.5000

=====

# 13
UVMoRu: relaxed, GGA-PBE.

Output
**Energy relative to the elements**: 0.035 eV per atom
**Magnetization**: 1.5 μB per cell
**Calculated volume**: 66.4 Å³ per cell

Unit cell a=4.5444 b=4.5444 c=4.5444 alpha=60.00 beta=60.00 gamma=60.00
Element x y z (fractional)
U1 0.0000 0.0000 0.0000
V1 0.5000 0.5000 0.5000
Mo1 0.2500 0.2500 0.2500
Ru1 0.7500 0.7500 0.7500

=====

# 14
V2MoRu: relaxed, GGA-PBE.

Output
**Energy relative to the elements**: 0.465 eV per atom
**Magnetization**: 0.0 μB per cell
**Calculated volume**: 121.2 Å³ per cell

Unit cell a=5.4769 b=5.4769 c=5.4769 alpha=103.24 beta=103.24 gamma=122.83
Element x y z (fractional)
V1 0.1140 0.6250 0.9890
V2 0.3750 0.3640 0.4890
V3 0.6360 0.1250 0.0110
V4 0.8750 0.8860 0.5110
Mo1 0.2500 0.7500 0.5000
Mo2 0.5000 0.5000 0.0000
Ru1 0.0000 0.0000 0.0000
Ru2 0.7500 0.2500 0.5000

=====

# 15
VMo2Ru: relaxed, GGA-PBE.

Output
**Energy relative to the elements**: -0.011 eV per atom
**Magnetization**: 0.0 μB per cell
**Calculated volume**: 59.0 Å³ per cell

Unit cell a=3.0731 b=3.0731 c=6.2423 alpha=90.00 beta=90.00 gamma=90.00
Element x y z (fractional)
V1 0.0000 0.0000 0.0000
Mo1 0.5000 0.5000 0.2344
Mo2 0.5000 0.5000 0.7656
Ru1 0.0000 0.0000 0.5000

=====

# 16
V4MoRu: relaxed, GGA-PBE.

Output
**Energy relative to the elements**: 0.055 eV per atom
**Magnetization**: 0.0 μB per cell
**Calculated volume**: 83.7 Å³ per cell

Unit cell a=4.9106 b=4.9106 c=4.9106 alpha=60.00 beta=60.00 gamma=60.00
Element x y z (fractional)
V1 0.1250 0.1250 0.1250
V2 0.1250 0.1250 0.6251
V3 0.1250 0.6251 0.1250
V4 0.6251 0.1250 0.1250
Mo1 0.7500 0.7500 0.7500
Ru1 0.5000 0.5000 0.5000

=====

# 17
VMo2Ru: relaxed, GGA-PBE.

Output
**Energy relative to the elements**: -0.030 eV per atom
**Magnetization**: 0.0 μB per cell
**Calculated volume**: 59.2 Å³ per cell

Unit cell a=2.7392 b=4.3301 c=5.1002 alpha=90.00 beta=101.74 gamma=90.00
Element x y z (fractional)
V1 0.0000 0.0000 0.0000
Mo1 0.2356 0.5000 0.7563
Mo2 0.7644 0.5000 0.2437
Ru1 0.5000 0.0000 0.5000

=====

# 18
V2MoRu2: relaxed, GGA-PBE.

Output
**Energy relative to the elements**: 0.030 eV per atom
**Magnetization**: 0.0 μB per cell
**Calculated volume**: 145.2 Å³ per cell

Unit cell a=7.2025 b=7.2025 c=2.7990 alpha=90.00 beta=90.00 gamma=90.00
Element x y z (fractional)
V1 0.1631 0.3369 0.0000
V2 0.3369 0.8369 0.0000
V3 0.6631 0.1631 0.0000
V4 0.8369 0.6631 0.0000
Mo1 0.0000 0.0000 0.5000
Mo2 0.5000 0.5000 0.5000
Ru1 0.1369 0.6369 0.5000
Ru2 0.3631 0.1369 0.5000
Ru3 0.6369 0.8631 0.5000
Ru4 0.8631 0.3631 0.5000

=====

# 19
V5MoRu4: relaxed, GGA-PBE.

Output
**Energy relative to the elements**: -0.244 eV per atom
**Magnetization**: 0.7 μB per cell
**Calculated volume**: 138.2 Å³ per cell

Unit cell a=3.0193 b=3.0193 c=15.1603 alpha=90.00 beta=90.00 gamma=90.00
Element x y z (fractional)
V1 0.0000 0.0000 0.0000
V2 0.0000 0.0000 0.2001
V3 0.0000 0.0000 0.4017
V4 0.0000 0.0000 0.5983
V5 0.0000 0.0000 0.7999
Mo1 0.5000 0.5000 0.5000
Ru1 0.5000 0.5000 0.0980
Ru2 0.5000 0.5000 0.2970
Ru3 0.5000 0.5000 0.7030
Ru4 0.5000 0.5000 0.9020

=====

# 20
V2MoRu: relaxed, GGA-PBE.

Output
**Energy relative to the elements**: -0.268 eV per atom
**Magnetization**: 0.0 μB per cell
**Calculated volume**: 56.0 Å³ per cell

Unit cell a=4.2955 b=4.2955 c=4.2955 alpha=60.00 beta=60.00 gamma=60.00
Element x y z (fractional)
V1 0.2500 0.2500 0.2500
V2 0.7500 0.7500 0.7500
Mo1 0.0000 0.0000 0.0000
Ru1 0.5000 0.5000 0.5000

=====

# 21
VMoRu2: relaxed, GGA-PBE.

Output
**Energy relative to the elements**: 0.596 eV per atom
**Magnetization**: 0.0 μB per cell
**Calculated volume**: 126.0 Å³ per cell

Unit cell a=8.9892 b=8.9892 c=8.9892 alpha=155.37 beta=155.37 gamma=35.11
Element x y z (fractional)
V1 0.0000 0.0000 0.0000
V2 0.7500 0.2500 0.5000
Mo1 0.2500 0.7500 0.5000
Mo2 0.5000 0.5000 0.0000
Ru1 0.0986 0.6250 0.9736
Ru2 0.3750 0.3486 0.4736
Ru3 0.6514 0.1250 0.0264
Ru4 0.8750 0.9014 0.5264

=====

# 22
V6MoRu: relaxed, GGA-PBE.

Output
**Energy relative to the elements**: 0.081 eV per atom
**Magnetization**: 0.0 μB per cell
**Calculated volume**: 113.3 Å³ per cell

Unit cell a=5.3569 b=5.3569 c=5.3569 alpha=110.56 beta=110.56 gamma=110.56
Element x y z (fractional)
V1 0.2497 0.2497 0.7475
V2 0.2497 0.7475 0.2497
V3 0.2525 0.7503 0.7503
V4 0.7475 0.2497 0.2497
V5 0.7503 0.2525 0.7503
V6 0.7503 0.7503 0.2525
Mo1 0.0000 0.0000 0.0000
Ru1 0.5000 0.5000 0.5000

=====

# 23
V6Mo2Ru: relaxed, GGA-PBE.

Output
**Energy relative to the elements**: 0.629 eV per atom
**Magnetization**: 0.0 μB per cell
**Calculated volume**: 150.9 Å³ per cell

Unit cell a=7.2110 b=7.2110 c=4.0601 alpha=106.06 beta=106.06 gamma=48.62
Element x y z (fractional)
V1 0.0810 0.5879 0.3349
V2 0.2493 0.7507 0.0000
V3 0.4121 0.9190 0.6651
V4 0.5879 0.0810 0.3349
V5 0.7507 0.2493 0.0000
V6 0.9190 0.4121 0.6651
Mo1 0.3341 0.3341 0.8346
Mo2 0.6659 0.6659 0.1654
Ru1 0.0000 0.0000 0.5000

=====

# 24
V5MoRu2: relaxed, GGA-PBE.

Output
**Energy relative to the elements**: -0.283 eV per atom
**Magnetization**: 0.0 μB per cell
**Calculated volume**: 110.0 Å³ per cell

Unit cell a=5.2273 b=5.2273 c=5.2273 alpha=109.33 beta=109.33 gamma=109.76
Element x y z (fractional)
V1 0.0000 0.0000 0.0000
V2 0.0000 0.0000 0.5000
V3 0.0000 0.5000 0.0000
V4 0.5000 0.0000 0.0000
V5 0.5000 0.5000 0.5000
Mo1 0.5000 0.5000 0.0000
Ru1 0.0000 0.5000 0.5000
Ru2 0.5000 0.0000 0.5000

=====

# 25
V6Mo3Ru: relaxed, GGA-PBE.

Output
**Energy relative to the elements**: -0.190 eV per atom
**Magnetization**: 0.0 μB per cell
**Calculated volume**: 282.5 Å³ per cell

Unit cell a=7.4684 b=4.3045 c=9.1318 alpha=90.00 beta=105.81 gamma=90.00
Element x y z (fractional)
V1 0.0490 0.2500 0.3987
V2 0.1473 0.7500 0.1992
V3 0.1490 0.2500 0.7031
V4 0.2474 0.2500 0.9994
V5 0.3486 0.7500 0.8022
V6 0.4501 0.2500 0.6020
V7 0.5499 0.7500 0.3980
V8 0.6514 0.2500 0.1978
V9 0.7526 0.7500 0.0006
V10 0.8510 0.7500 0.2969
V11 0.8527 0.2500 0.8008
V12 0.9510 0.7500 0.6013
Mo1 0.2450 0.7500 0.5021
Mo2 0.3477 0.2500 0.2998
Mo3 0.4512 0.7500 0.1010
Mo4 0.5488 0.2500 0.8990
Mo5 0.6523 0.7500 0.7002
Mo6 0.7550 0.2500 0.4979
Ru1 0.0506 0.7500 0.9002
Ru2 0.9494 0.2500 0.0998

=====

# 26
V5MoRu6: relaxed, GGA-PBE.

Output
**Energy relative to the elements**: -0.177 eV per atom
**Magnetization**: 0.6 μB per cell
**Calculated volume**: 166.9 Å³ per cell

Unit cell a=4.4437 b=5.8338 c=6.5824 alpha=90.00 beta=101.98 gamma=90.00
Element x y z (fractional)
V1 0.0000 0.0000 0.0000
V2 0.2906 0.5000 0.6805
V3 0.2921 0.0000 0.6782
V4 0.7079 0.0000 0.3218
V5 0.7094 0.5000 0.3195
Mo1 0.0000 0.5000 0.0000
Ru1 0.2144 0.2483 0.3512
Ru2 0.2144 0.7517 0.3512
Ru3 0.5000 0.2440 0.0000
Ru4 0.5000 0.7560 0.0000
Ru5 0.7856 0.2483 0.6488
Ru6 0.7856 0.7517 0.6488